No. 1
VASP calculation (PBE) on an optimized crystal structure of Ta2InW.

The total magnetization comes out at 0.00 μB/f.u. The value obtained for the energy relative to the elements is 68 kJ/mol of formula units.

The structure belongs to space group Imm2 (No. 44); the cell edges are 3.4254, 4.6305 and 9.2608 Å and the angles 90.00°, 90.00° and 90.00°. The asymmetric unit holds Ta at (0.0000, 0.0000, 0.0000), Ta at (0.0000, 0.5000, 0.2510), In at (0.0000, 0.0000, 0.4851) and W at (0.0000, 0.5000, 0.7272).

No. 2
VASP calculation (PBE) on an optimized crystal structure of Sc2PtRh.

The total magnetization comes out at 0.00 μB/f.u. The value obtained for the energy relative to the elements is -396 kJ/mol of formula units.

The structure belongs to space group Amm2 (No. 38); the cell edges are 4.4825, 3.2485 and 9.9674 Å and the angles 90.00°, 90.00° and 90.00°. The asymmetric unit holds Sc at (0.0000, 0.0000, 0.0000), Sc at (0.5000, 0.0000, 0.2803), Pt at (0.5000, 0.0000, 0.5521) and Rh at (0.0000, 0.0000, 0.7354).

No. 3
VASP calculation (PBE) on an optimized crystal structure of K2PuO5.

The uncorrected formation energy is -195 kJ per mole of atoms. The total magnetization comes out at 0.00 μB/f.u.

The structure belongs to space group P4/mmm (No. 123); the cell edges are 6.1921, 6.1921 and 4.2658 Å and the angles 90.00°, 90.00° and 90.00°. The asymmetric unit holds K at (0.0000, 0.5000, 0.0000), Pu at (0.0000, 0.0000, 0.5000), O at (0.0000, 0.0000, 0.0000) and O at (0.2164, 0.2164, 0.5000).

Going through the records in order, we get calculated density values of 14.93; 8.88; 4.08 g/cm3.
Going through the records in order, we get VASP energy values of -77.39; -60.31; -57.46 eV per cell.
Going through the records in order, we get Fermi-level density of states values of 4.5; 6.0; 2.3 states/eV/cell.